# 1
# ScWCl2

An optimized crystal structure of ScWCl2 (PBE, Alexandria).

E_form (uncorrected)   0.06 eV per atom
Space-group type   No. 44
Polymorph energy (0 for the lowest one)   2.12 eV per formula unit

Lattice parameters (Å, degrees): 5.7499 5.7499 5.7499 149.62 132.09 57.79
Fractional coordinates of all 4 atoms:
Cl1 0.7302 0.2302 0.5000
W1 0.2404 0.7404 0.5000
Cl2 0.0279 0.0279 0.0000
Sc1 0.5016 0.5016 0.0000



# 2
# NaZnP

An optimized crystal structure of NaZnP (PBE, Alexandria).

Energy of formation   -0.403 eV/atom
Space-group type   No. 129

Lattice parameters (Å, degrees): 4.0668 4.0668 6.9100 90.00 90.00 90.00
Fractional coordinates of all 6 atoms:
Zn1 0.5000 0.5000 0.0000
Na1 0.5000 0.0000 0.3560
Na2 0.0000 0.5000 0.6440
Zn2 0.0000 0.0000 0.0000
P1 0.0000 0.5000 0.2126
P2 0.5000 0.0000 0.7874



# 3
# Ti2TeAs

An optimized crystal structure of Ti2TeAs (PBE, Alexandria).

E_form (uncorrected)   -0.73 eV per atom
Space-group type   No. 160
Polymorph energy (0 for the lowest one)   0.00 eV per formula unit

Lattice parameters (Å, degrees): 3.7445 3.7445 6.8282 74.09 74.09 60.00
Fractional coordinates of all 4 atoms:
Te1 0.4988 0.4988 0.5037
Ti1 0.0693 0.0693 0.7922
Ti2 0.2640 0.2640 0.2080
As1 0.6680 0.6680 0.9961



# 4
# InAsBr2

An optimized crystal structure of InAsBr2 (PBE, Alexandria).

E_form (uncorrected)   -0.30 eV per atom
Space-group type   No. 8
Polymorph energy (0 for the lowest one)   0.10 eV per formula unit

Lattice parameters (Å, degrees): 5.6141 5.6141 7.2019 77.25 77.25 45.95
Fractional coordinates of all 4 atoms:
As1 0.1615 0.1615 0.2037
In1 0.6611 0.6611 0.4200
Br1 0.7395 0.7395 0.7269
Br2 0.9378 0.9378 0.1494



# 5
# LiInNiAg

An optimized crystal structure of LiInNiAg (PBE, Alexandria).

Energy of formation   -0.162 eV/atom
Space-group type   No. 216

Lattice parameters (Å, degrees): 4.4495 4.4495 4.4495 60.00 60.00 60.00
Fractional coordinates of all 4 atoms:
Ag1 0.2500 0.2500 0.2500
In1 0.7500 0.7500 0.7500
Ni1 0.5000 0.5000 0.5000
Li1 0.0000 0.0000 0.0000



# 6
# Cr2C

An optimized crystal structure of Cr2C (PBE, Alexandria).

Energy of formation   -0.032 eV/atom
Space-group type   No. 166

Lattice parameters (Å, degrees): 4.6552 4.6552 4.6552 34.97 34.97 34.97
Fractional coordinates of all 3 atoms:
Cr1 0.7513 0.7513 0.7513
C1 0.0000 0.0000 0.0000
Cr2 0.2487 0.2487 0.2487



# 7
# Tl2Tc2Sn

An optimized crystal structure of Tl2Tc2Sn (PBE, Alexandria).

Energy of formation   0.575 eV/atom
Space-group type   No. 139
Polymorph energy (0 for the lowest one)   0.00 eV per formula unit

Lattice parameters (Å, degrees): 3.5324 3.5324 9.7783 79.59 79.59 90.00
Fractional coordinates of all 5 atoms:
Tc1 0.7500 0.2500 0.5000
Tl1 0.3807 0.3807 0.2385
Sn1 0.0000 0.0000 0.0000
Tc2 0.2500 0.7500 0.5000
Tl2 0.6193 0.6193 0.7615



# 8
# Pr15Dy4In

An optimized crystal structure of Pr15Dy4In (PBE, Alexandria).

Energy of formation   -0.039 eV/atom
Space-group type   No. 123

Lattice parameters (Å, degrees): 5.1458 5.1458 25.9601 90.00 90.00 90.00
Fractional coordinates of all 20 atoms:
Pr1 0.0000 0.5000 0.2986
Pr2 0.0000 0.5000 0.0965
Pr3 0.5000 0.0000 0.7014
Dy1 0.0000 0.0000 0.8020
Pr4 0.5000 0.5000 0.1975
Pr5 0.0000 0.5000 0.9035
Dy2 0.0000 0.0000 0.6004
Pr6 0.5000 0.5000 0.8025
In1 0.0000 0.0000 0.0000
Dy3 0.0000 0.0000 0.3996
Pr7 0.5000 0.5000 0.0000
Pr8 0.0000 0.5000 0.7014
Pr9 0.5000 0.0000 0.0965
Dy4 0.0000 0.0000 0.1980
Pr10 0.5000 0.5000 0.6009
Pr11 0.5000 0.0000 0.2986
Pr12 0.5000 0.5000 0.3991
Pr13 0.5000 0.0000 0.9035
Pr14 0.0000 0.5000 0.5000
Pr15 0.5000 0.0000 0.5000



| no. | M_tot (μB per cell) |
| --- | --- |
| 1 | 0.00 |
| 2 | 0.00 |
| 3 | 0.00 |
| 4 | 0.00 |
| 5 | 0.00 |
| 6 | 0.00 |
| 7 | 0.00 |
| 8 | 0.00 |